Entry from the Alexandria database: a relaxed CePm2Ge3Pt4 crystal (PBE-GGA).

```
CePm2Ge3Pt4
1.0
4.3432 0.0000 0.0000
0.0000 4.3432 0.0000
0.0000 0.0000 11.1480
Ce Pm Ge Pt
1 2 3 4
Direct
0.0000 0.0000 0.0000 Ce
0.0000 0.5000 0.7179 Pm
0.5000 0.0000 0.2821 Pm
0.0000 0.5000 0.3784 Ge
0.5000 0.0000 0.6216 Ge
0.5000 0.5000 0.0000 Ge
0.0000 0.0000 0.5000 Pt
0.0000 0.5000 0.1581 Pt
0.5000 0.0000 0.8419 Pt
0.5000 0.5000 0.5000 Pt
```

- Formation energy from the elements: -916.5 meV per atom
- E_tot: -62.6 eV/f.u.
- Volume: 210 Å³ per cell